1.
Computed, not measured: a relaxed HoLu2N crystal at the GGA-PBE level of DFT.

Computed properties:
Volume ... 87.3 Å³ per cell
Calculated total energy ... -25.318 eV per cell
Magnetization ... 0.00 μB per cell
Energy relative to the lowest polymorph listed for this composition ... 0.000 eV per atom
Symmetry ... R-3m, No. 166

Cell: 8.977 8.977 8.977 Å, 21.78 21.78 21.78°
Fractional coordinates of all 4 atoms:
Ho 0.000 0.000 0.000
Lu 0.217 0.217 0.217
Lu 0.783 0.783 0.783
N 0.500 0.500 0.500

---

2.
Computed, not measured: a relaxed ReSnTe2N crystal at the GGA-PBE level of DFT.

Computed properties:
Volume ... 126.9 Å³ per cell
Calculated total energy ... -22.642 eV per cell
Magnetization ... 3.76 μB per cell
Energy relative to the lowest polymorph listed for this composition ... 1.448 eV per atom
Symmetry ... P4/mmm, No. 123

Cell: 5.744 5.744 3.845 Å, 90.00 90.00 90.00°
Fractional coordinates of all 5 atoms:
Re 0.000 0.000 0.000
Sn 0.500 0.500 0.500
Te 0.000 0.500 0.500
Te 0.500 0.000 0.500
N 0.500 0.500 0.000

---

3.
Computed, not measured: a relaxed Sr4Al2Cl crystal at the GGA-PBE level of DFT.

Computed properties:
Volume ... 267.3 Å³ per cell
Calculated total energy ... -19.311 eV per cell
Magnetization ... 0.00 μB per cell
Symmetry ... I4/mmm, No. 139

Cell: 8.724 8.724 8.724 Å, 140.42 140.42 57.22°
Fractional coordinates of all 7 atoms:
Sr 0.000 0.500 0.500
Sr 0.200 0.200 0.000
Sr 0.500 0.000 0.500
Sr 0.800 0.800 0.000
Al 0.407 0.407 0.000
Al 0.593 0.593 0.000
Cl 0.000 0.000 0.000